# Al2FeAs

An optimized crystal structure of Al2FeAs (GGA-PBE, Alexandria via LeMat-Bulk).

abc: 2.7412 4.0857 11.2182
angles: 90.00 90.00 90.00
Last column: nearest neighbours and their distance in Å.
Fractional coordinates of all 8 atoms:
Al: 0.0000 0.0000 0.0000  4 Fe 2.46, 2 Al 2.74
Al: 0.0000 0.5000 0.1795  2 Fe 2.48, 2 Al 2.74
Al: 0.5000 0.0000 0.6795  2 Fe 2.48, 2 Al 2.74
Al: 0.5000 0.5000 0.5000  4 Fe 2.46, 2 Al 2.74
Fe: 0.0000 0.0000 0.4958  2 As 2.41, 6 Al 2.46-2.48
Fe: 0.5000 0.5000 0.9958  2 As 2.41, 6 Al 2.46-2.48
As: 0.0000 0.5000 0.8188  2 Fe 2.41
As: 0.5000 0.0000 0.3188  2 Fe 2.41

formation energy from the elements: -0.148 eV/atom
uncorrected energy: -5.30 eV per atom
space group: Imm2, No. 44
magnetic moment: 0.00 Bohr magnetons per cell
V: 15.705 Å³/atom